Material: CeMoH3
Method: DFT, PBE
State: optimized geometry

POSCAR file:
```
CeMoH3
1.0
3.763 0.000 0.000
0.000 3.763 0.000
0.000 0.000 3.763
Ce Mo H
1 1 3
Direct
0.000 0.000 0.000
0.500 0.500 0.500
0.000 0.500 0.500
0.500 0.000 0.500
0.500 0.500 0.000
```

Computed properties:
Its total magnetic moment is 0.9 μB per formula unit. As for the symmetry: Pm-3m (221). The value obtained for the total energy is -5.609 eV per atom.

***

Material: La6Tb2PrSc
Method: DFT, PBE
State: optimized geometry

POSCAR file:
```
La6Tb2PrSc
1.0
5.802 -3.507 0.000
5.802 3.507 0.000
-2.111 0.000 8.676
La Tb Pr Sc
6 2 1 1
Direct
0.094 0.578 0.196
0.132 0.132 0.404
0.422 0.906 0.804
0.578 0.094 0.196
0.868 0.868 0.596
0.906 0.422 0.804
0.405 0.405 0.840
0.595 0.595 0.160
0.500 0.500 0.500
0.000 0.000 0.000
```

Computed properties:
Its total magnetic moment is 0.0 μB per formula unit. As for the symmetry: C2/m (12). The value obtained for the formation energy is 2.10 eV/f.u. The value obtained for the total energy is -4.783 eV per atom.

***

Material: SrMg4Cd2
Method: DFT, PBE
State: optimized geometry

POSCAR file:
```
SrMg4Cd2
1.0
8.738 0.000 0.000
0.000 8.738 0.000
0.000 0.000 4.781
Sr Mg Cd
2 8 4
Direct
0.000 0.000 0.000
0.500 0.500 0.500
0.094 0.349 0.500
0.151 0.594 0.000
0.349 0.094 0.500
0.406 0.849 0.000
0.594 0.151 0.000
0.651 0.906 0.500
0.849 0.406 0.000
0.906 0.651 0.500
0.215 0.785 0.500
0.285 0.285 0.000
0.715 0.715 0.000
0.785 0.215 0.500
```

Computed properties:
Its total magnetic moment is 0.0 μB per formula unit. As for the symmetry: P4_2/mnm (136). The value obtained for the formation energy is -1.14 eV/f.u. The value obtained for the total energy is -1.576 eV per atom.

***

Material: Pr2ThAu6
Method: DFT, PBE
State: optimized geometry

POSCAR file:
```
Pr2ThAu6
1.0
-1.842 3.952 7.456
1.842 -3.952 7.456
1.842 3.952 -7.456
Pr Th Au
2 1 6
Direct
0.143 0.143 0.000
0.857 0.857 0.000
0.500 0.000 0.500
0.146 0.325 0.820
0.185 0.500 0.685
0.495 0.675 0.820
0.505 0.325 0.180
0.815 0.500 0.315
0.854 0.675 0.180
```

Computed properties:
Its total magnetic moment is 0.0 μB per formula unit. As for the symmetry: Immm (71). The value obtained for the formation energy is -5.91 eV/f.u. The value obtained for the total energy is -4.729 eV per atom.

***

Material: KLiSnP2
Method: DFT, PBE
State: optimized geometry

POSCAR file:
```
KLiSnP2
1.0
6.758 -2.077 0.000
6.758 2.077 0.000
-1.550 0.000 9.385
K Li Sn P
2 2 2 4
Direct
0.150 0.150 0.166
0.850 0.850 0.834
0.187 0.187 0.562
0.813 0.813 0.438
0.442 0.442 0.327
0.558 0.558 0.673
0.128 0.128 0.817
0.374 0.374 0.567
0.626 0.626 0.433
0.872 0.872 0.183
```

Computed properties:
Its total magnetic moment is 0.0 μB per formula unit. As for the symmetry: C2/m (12). The value obtained for the formation energy is -1.96 eV/f.u. The value obtained for the total energy is -3.959 eV per atom.

***

Material: Ta3TcH
Method: DFT, PBE
State: optimized geometry

POSCAR file:
```
Ta3TcH
1.0
4.816 0.000 0.000
0.000 4.816 0.000
0.000 0.000 4.816
Ta Tc H
3 1 1
Direct
0.000 0.000 0.500
0.000 0.500 0.000
0.500 0.000 0.000
0.000 0.000 0.000
0.500 0.500 0.500
```

Computed properties:
Its total magnetic moment is 0.0 μB per formula unit. As for the symmetry: Pm-3m (221). The value obtained for the total energy is -8.015 eV per atom.

***

Material: BiOsPb2O8
Method: DFT, PBE
State: optimized geometry

POSCAR file:
```
BiOsPb2O8
1.0
5.170 0.000 0.000
0.000 6.831 0.000
-0.004 0.000 5.190
Bi Os Pb O
1 1 2 8
Direct
0.000 0.000 0.000
0.000 0.500 0.000
0.500 0.255 0.500
0.500 0.745 0.500
0.196 0.288 0.157
0.196 0.712 0.157
0.226 0.500 0.722
0.297 0.000 0.678
0.703 0.000 0.322
0.774 0.500 0.278
0.804 0.288 0.843
0.804 0.712 0.843
```

Computed properties:
The uncorrected formation energy is -0.98 eV per atom. Its total magnetic moment is 0.0 μB per formula unit. As for the symmetry: P2/m (10). The value obtained for the total energy is -6.167 eV per atom.

***

Material: CaTc3Pt
Method: DFT, PBE
State: optimized geometry

POSCAR file:
```
CaTc3Pt
1.0
4.503 0.000 0.000
0.000 4.503 0.000
0.000 0.000 4.503
Ca Tc Pt
1 3 1
Direct
0.000 0.000 0.000
0.000 0.000 0.500
0.000 0.500 0.000
0.500 0.000 0.000
0.500 0.500 0.500
```

Computed properties:
Its total magnetic moment is 0.0 μB per formula unit. As for the symmetry: Pm-3m (221). The value obtained for the formation energy is 12.38 eV/f.u. The value obtained for the total energy is -5.352 eV per atom.

***

Material: LiGe5Ir3
Method: DFT, PBE
State: optimized geometry

POSCAR file:
```
LiGe5Ir3
1.0
5.414 -4.369 0.000
5.414 4.369 0.000
-5.169 0.000 7.479
Li Ge Ir
2 10 6
Direct
0.224 0.224 0.320
0.776 0.776 0.680
0.220 0.220 0.634
0.223 0.223 0.995
0.272 0.721 0.656
0.276 0.724 0.000
0.279 0.728 0.344
0.721 0.272 0.656
0.724 0.276 0.000
0.728 0.279 0.344
0.777 0.777 0.005
0.780 0.780 0.366
0.000 0.000 0.000
0.018 0.018 0.677
0.499 0.499 0.171
0.500 0.500 0.500
0.501 0.501 0.829
0.982 0.982 0.323
```

Computed properties:
Its total magnetic moment is 0.0 μB per formula unit. As for the symmetry: C2/m (12). The value obtained for the formation energy is -1.43 eV/f.u. The value obtained for the total energy is -5.890 eV per atom.

***

Material: Sr2OsPt2
Method: DFT, PBE
State: optimized geometry

POSCAR file:
```
Sr2OsPt2
1.0
6.865 0.000 0.000
0.000 6.865 0.000
0.000 0.000 4.857
Sr Os Pt
4 2 4
Direct
0.179 0.321 0.000
0.321 0.821 0.000
0.679 0.179 0.000
0.821 0.679 0.000
0.000 0.000 0.500
0.500 0.500 0.500
0.138 0.638 0.500
0.362 0.138 0.500
0.638 0.862 0.500
0.862 0.362 0.500
```

Computed properties:
Its total magnetic moment is 0.4 μB per formula unit. As for the symmetry: P4/mbm (127). The value obtained for the formation energy is -0.93 eV/f.u. The value obtained for the total energy is -5.521 eV per atom.

***

Material: TlGa2CuSe4
Method: DFT, PBE
State: optimized geometry

POSCAR file:
```
TlGa2CuSe4
1.0
5.854 0.000 0.000
0.000 5.854 0.000
0.000 0.000 12.785
Tl Ga Cu Se
2 4 2 8
Direct
0.000 0.000 0.000
0.500 0.500 0.500
0.000 0.500 0.250
0.000 0.500 0.750
0.500 0.000 0.250
0.500 0.000 0.750
0.000 0.000 0.500
0.500 0.500 0.000
0.212 0.212 0.641
0.212 0.788 0.359
0.288 0.288 0.141
0.288 0.712 0.859
0.712 0.288 0.859
0.712 0.712 0.141
0.788 0.212 0.359
0.788 0.788 0.641
```

Computed properties:
The uncorrected formation energy is -0.34 eV per atom. Its total magnetic moment is 0.0 μB per formula unit. As for the symmetry: I-42m (121). The value obtained for the total energy is -3.652 eV per atom.

***

Material: Tl4Cd3F10
Method: DFT, PBE
State: optimized geometry

POSCAR file:
```
Tl4Cd3F10
1.0
-2.250 2.250 15.875
2.250 -2.250 15.875
2.250 2.250 -15.875
Tl Cd F
4 3 10
Direct
0.070 0.070 0.000
0.205 0.205 0.000
0.795 0.795 0.000
0.930 0.930 0.000
0.358 0.358 0.000
0.500 0.500 0.000
0.642 0.642 0.000
0.000 0.500 0.500
0.140 0.640 0.500
0.287 0.287 0.000
0.360 0.860 0.500
0.429 0.429 0.000
0.500 0.000 0.500
0.571 0.571 0.000
0.640 0.140 0.500
0.713 0.713 0.000
0.860 0.360 0.500
```

Computed properties:
The uncorrected formation energy is -2.00 eV per atom. Its total magnetic moment is 0.0 μB per formula unit. As for the symmetry: I4/mmm (139). The value obtained for the total energy is -3.820 eV per atom.